# 1
First-principles (PBE) data for an optimized crystal structure of LiTl2SbP, as listed in Alexandria via LeMat-Bulk.

Output
Uncorrected formation energy (meV/atom): 107

abc: 5.4110 5.4110 4.5756
angles: 90.00 90.00 90.00
Last column: nearest neighbours and their distance in Å.
Space group P4/mmm (No. 123)
One atom of each set of equivalent atoms:
Li 0.0000 0.0000 0.0000 x1  2 P 2.29
Tl 0.0000 0.5000 0.5000 x2  2 P 2.71
Sb 0.5000 0.5000 0.0000 x1  8 Tl 3.54, 4 Li 3.83
P 0.0000 0.0000 0.5000 x1  2 Li 2.29

***

# 2
First-principles (PBE) data for an optimized crystal structure of LiTlSb2P, as listed in Alexandria via LeMat-Bulk.

Output
Uncorrected formation energy (meV/atom): 859

abc: 5.7883 5.7883 5.1401
angles: 90.00 90.00 90.00
Last column: nearest neighbours and their distance in Å.
Space group P4/mmm (No. 123)
One atom of each set of equivalent atoms:
Li 0.0000 0.0000 0.0000 x1  8 Sb 3.87, 4 P 4.09
Tl 0.5000 0.5000 0.5000 x1  2 P 2.57
Sb 0.0000 0.5000 0.5000 x2  2 Tl 2.89
P 0.5000 0.5000 0.0000 x1  2 Tl 2.57

***

# 3
First-principles (PBE) data for an optimized crystal structure of LiTlSb2P, as listed in Alexandria via LeMat-Bulk.

Output
Uncorrected formation energy (meV/atom): 325

abc: 5.2390 5.2390 5.5501
angles: 90.00 90.00 90.00
Last column: nearest neighbours and their distance in Å.
Space group P4/mmm (No. 123)
One atom of each set of equivalent atoms:
Li 0.0000 0.0000 0.0000 x1  4 Tl 3.70, 8 Sb 3.82
Tl 0.5000 0.5000 0.0000 x1  2 P 2.78
Sb 0.0000 0.5000 0.5000 x2  2 P 2.62
P 0.5000 0.5000 0.5000 x1  4 Sb 2.62, 2 Tl 2.78

***

# 4
First-principles (PBE) data for an optimized crystal structure of LiY2SbP, as listed in Alexandria via LeMat-Bulk.

Output
Uncorrected formation energy (meV/atom): 315

abc: 5.7205 5.7205 5.2925
angles: 90.00 90.00 90.00
Last column: nearest neighbours and their distance in Å.
Space group P4/mmm (No. 123)
One atom of each set of equivalent atoms:
Li 0.0000 0.0000 0.0000 x1  8 Y 3.90, 4 P 4.05
Y 0.0000 0.5000 0.5000 x2  2 Sb 2.86
Sb 0.5000 0.5000 0.5000 x1  2 P 2.65, 4 Y 2.86
P 0.5000 0.5000 0.0000 x1  2 Sb 2.65

***

# 5
First-principles (PBE) data for an optimized crystal structure of Li2ScP, as listed in Alexandria via LeMat-Bulk.

Output
VASP energy (eV per atom): -4.461

abc: 3.9990 3.9990 13.7748
angles: 90.00 90.00 120.00
Last column: nearest neighbours and their distance in Å.
Space group R3m (No. 160, hexagonal axes)
One atom of each set of equivalent atoms:
Li 0.0000 0.0000 0.0000 x3  3 Li 2.43, 3 P 2.58
Li 0.0000 0.0000 0.2794 x3  3 P 2.35, 3 Li 2.43
Sc 0.0000 0.0000 0.7969 x3  7 Li 2.80-3.09, 4 P 2.83-2.95
P 0.0000 0.0000 0.5827 x3  6 Li 2.35-2.58

***

# 6
First-principles (PBE) data for an optimized crystal structure of Li2ScP, as listed in Alexandria via LeMat-Bulk.

Output
VASP energy (eV per atom): -4.299

abc: 5.2295 5.3186 10.5238
angles: 90.00 90.00 90.00
Last column: nearest neighbours and their distance in Å.
Space group Fmmm (No. 69)
One atom of each set of equivalent atoms:
Li 0.0000 0.2500 0.2500 x8  4 Li 2.61-2.66
Sc 0.0000 0.0000 0.0000 x4  4 P 2.61-2.66
P 0.0000 0.0000 0.5000 x4  4 Sc 2.61-2.66

***

Which volume belongs to each record? In order, 133.97; 172.22; 152.34; 173.19; 63.59; 73.18 Å³/f.u..